Record 1
The following is a PBE-GGA calculation of a relaxed TiInRhAu crystal, from Alexandria via LeMat-Bulk.

## Properties
Electronic total energy ... -5.709 eV per atom
Total magnetic moment ... 0.923 Bohr magnetons per cell
DOS at the Fermi energy ... 2.84 states/eV/f.u.

Cell lengths 4.2304, 4.2267, 4.8466 Å; angles 115.88, 115.88, 90.00 degrees
With the nearest neighbours (Å) after each atom.
Atoms (fractional coordinates):
Rh1 0.2501 0.7504 0.5002  4 Ti 2.84-2.85, 4 In 2.85, 4 Au 2.99
Ti1 0.4998 0.4997 0.9996  4 Rh 2.84-2.85, 4 Au 2.85, 4 In 2.99
Au1 0.7500 0.2499 0.5000  4 In 2.85, 4 Ti 2.85, 4 Rh 2.99
In1 0.0001 0.0000 0.0001  4 Au 2.85, 4 Rh 2.85, 4 Ti 2.99

=====

Record 2
The following is a PBE-GGA calculation of a relaxed Tm4InRh2Au crystal, from Alexandria via LeMat-Bulk.

## Properties
Electronic total energy ... -5.572 eV per atom
Total magnetic moment ... 0.000 Bohr magnetons per cell
DOS at the Fermi energy ... 5.53 states/eV/f.u.

Cell lengths 4.9524, 4.9524, 8.6327 Å; angles 73.33, 73.33, 60.00 degrees
With the nearest neighbours (Å) after each atom.
Atoms (fractional coordinates):
Tm1 0.8719 0.8719 0.3843  3 Au 3.01, 4 Rh 3.11, 1 In 3.13
Tm2 0.3792 0.3792 0.8624  1 Au 2.95, 4 Rh 2.97-3.03, 3 In 3.07
Tm3 0.6208 0.6208 0.1376  1 Au 2.95, 4 Rh 2.97-3.03, 3 In 3.07
Tm4 0.1281 0.1281 0.6157  3 Au 3.01, 4 Rh 3.11, 1 In 3.13
Rh1 0.7447 0.7447 0.7659  8 Tm 2.97-3.11
Rh2 0.2553 0.2553 0.2341  8 Tm 2.97-3.11
Au1 0.5000 0.5000 0.5000  8 Tm 2.95-3.01
In1 0.0000 0.0000 0.0000  8 Tm 3.07-3.13, 6 Rh 3.44

=====

Record 3
The following is a PBE-GGA calculation of a relaxed UInRhAu crystal, from Alexandria via LeMat-Bulk.

## Properties
Electronic total energy ... -6.400 eV per atom
Total magnetic moment ... 2.045 Bohr magnetons per cell
DOS at the Fermi energy ... 6.06 states/eV/f.u.

Cell lengths 4.8598, 4.8598, 4.8598 Å; angles 60.00, 60.00, 60.00 degrees
With the nearest neighbours (Å) after each atom.
Atoms (fractional coordinates):
Rh1 0.5000 0.5000 0.5000  4 U 2.98, 4 In 2.98
Au1 0.0000 0.0000 0.0000  4 In 2.98, 4 U 2.98
U1 0.7500 0.7500 0.7500  4 Rh 2.98, 4 Au 2.98
In1 0.2500 0.2500 0.2500  4 Rh 2.98, 4 Au 2.98

=====

Record 4
The following is a PBE-GGA calculation of a relaxed InRu2Au crystal, from Alexandria via LeMat-Bulk.

## Properties
Electronic total energy ... -6.033 eV per atom
Total magnetic moment ... 0.000 Bohr magnetons per cell
DOS at the Fermi energy ... 2.84 states/eV/f.u.

Cell lengths 2.8962, 2.8962, 7.9370 Å; angles 90.00, 90.00, 90.00 degrees
With the nearest neighbours (Å) after each atom.
Atoms (fractional coordinates):
Ru1 0.5000 0.5000 0.2237  8 Ru 2.59-2.90
Ru2 0.0000 0.0000 0.0235  8 Ru 2.59-2.90, 4 In 2.88
In1 0.5000 0.5000 0.7675  4 Ru 2.88, 4 In 2.90, 4 Au 3.03-3.04
Au1 0.0000 0.0000 0.4853  4 Au 2.90, 4 Ru 2.92, 4 In 3.03-3.04